This record from Alexandria via LeMat-Bulk describes a geometry-optimized K2AlRe structure. The functional is PBE-GGA.

a = 2.7777 Å, b = 6.3084 Å, c = 12.9406 Å
α = 90.00°, β = 90.00°, γ = 90.00°
With the nearest neighbours (Å) after each atom.
Sites, in units of the cell vectors:
K 0.0000 0.0000 0.0000  2 K 2.78
K 0.0000 0.5000 0.1929  2 K 2.78
K 0.5000 0.0000 0.6929  2 K 2.78
K 0.5000 0.5000 0.5000  2 K 2.78
Al 0.0000 0.0000 0.4263  2 Re 2.55, 2 Al 2.78
Al 0.5000 0.5000 0.9263  2 Re 2.55, 2 Al 2.78
Re 0.0000 0.5000 0.7609  2 Al 2.55, 2 Re 2.78
Re 0.5000 0.0000 0.2609  2 Al 2.55, 2 Re 2.78

Summary:
Size of the total moment   0.24 μB/atom
SG   No. 44
Energy   -3.64 eV per atom
Crystal system   orthorhombic

---

This record from Alexandria via LeMat-Bulk describes a geometry-optimized TlInBi structure. The functional is PBE-GGA.

a = 5.5634 Å, b = 5.5634 Å, c = 3.4567 Å
α = 90.00°, β = 90.00°, γ = 120.00°
With the nearest neighbours (Å) after each atom.
Sites, in units of the cell vectors:
Tl 0.0000 0.0000 0.0000  2 Tl 3.46, 6 In 3.50-3.81, 6 Bi 3.55-3.75
In 0.3333 0.6667 0.4056  3 Bi 3.26, 2 In 3.46, 3 Tl 3.50
Bi 0.6667 0.3333 0.5602  3 In 3.26, 2 Bi 3.46, 3 Tl 3.55

Summary:
Offset from the most stable computed form   35 meV/atom
Size of the total moment   0.00 μB/atom
SG   No. 156
Crystal system   trigonal

---

This record from Alexandria via LeMat-Bulk describes a geometry-optimized Tb9Er4Zn11 structure. The functional is PBE-GGA.

a = 13.0840 Å, b = 13.0840 Å, c = 3.4503 Å
α = 90.00°, β = 90.00°, γ = 108.02°
With the nearest neighbours (Å) after each atom.
Sites, in units of the cell vectors:
Tb 0.0000 0.0000 0.0000  4 Er 3.17, 4 Zn 3.25, 2 Tb 3.45
Tb 0.1233 0.6481 0.0000  8 Zn 3.07-3.35, 1 Er 3.28
Tb 0.2947 0.4754 0.0000  8 Zn 3.05-3.18, 1 Er 3.35
Tb 0.3519 0.8767 0.0000  8 Zn 3.07-3.35, 1 Er 3.28
Tb 0.4754 0.2947 0.0000  8 Zn 3.05-3.18, 1 Er 3.35
Tb 0.5246 0.7053 0.0000  8 Zn 3.05-3.18, 1 Er 3.35
Tb 0.6481 0.1233 0.0000  8 Zn 3.07-3.35, 1 Er 3.28
Tb 0.7053 0.5246 0.0000  8 Zn 3.05-3.18, 1 Er 3.35
Tb 0.8767 0.3519 0.0000  8 Zn 3.07-3.35, 1 Er 3.28
Er 0.0795 0.2547 0.0000  6 Zn 3.03-3.22, 3 Tb 3.17-3.35
Er 0.2547 0.0795 0.0000  6 Zn 3.03-3.22, 3 Tb 3.17-3.35
Er 0.7453 0.9205 0.0000  6 Zn 3.03-3.22, 3 Tb 3.17-3.35
Er 0.9205 0.7453 0.0000  6 Zn 3.03-3.22, 3 Tb 3.17-3.35
Zn 0.0832 0.4458 0.5000  1 Zn 2.94, 2 Er 3.03, 6 Tb 3.07-3.18
Zn 0.1301 0.8699 0.5000  4 Er 3.22, 6 Tb 3.25-3.35, 2 Zn 3.45
Zn 0.2764 0.2764 0.5000  4 Er 3.04, 4 Tb 3.07
Zn 0.3255 0.6745 0.5000  8 Tb 3.05-3.09
Zn 0.4458 0.0832 0.5000  1 Zn 2.94, 2 Er 3.03, 6 Tb 3.07-3.18
Zn 0.5000 0.5000 0.5000  8 Tb 3.12, 4 Zn 3.44-3.45
Zn 0.5542 0.9168 0.5000  1 Zn 2.94, 2 Er 3.03, 6 Tb 3.07-3.18
Zn 0.6745 0.3255 0.5000  8 Tb 3.05-3.09
Zn 0.7236 0.7236 0.5000  4 Er 3.04, 4 Tb 3.07
Zn 0.8699 0.1301 0.5000  4 Er 3.22, 6 Tb 3.25-3.35, 2 Zn 3.45
Zn 0.9168 0.5542 0.5000  1 Zn 2.94, 2 Er 3.03, 6 Tb 3.07-3.18

Summary:
Size of the total moment   0.00 μB/atom
SG   No. 65
Energy   -3.33 eV per atom
Crystal system   orthorhombic

---

This record from Alexandria via LeMat-Bulk describes a geometry-optimized MgCd4Cl structure. The functional is PBE-GGA.

a = 5.9395 Å, b = 5.9395 Å, c = 5.9395 Å
α = 60.00°, β = 60.00°, γ = 60.00°
With the nearest neighbours (Å) after each atom.
Sites, in units of the cell vectors:
Mg 0.0000 0.0000 0.0000  12 Cd 3.48, 4 Cl 3.64
Cd 0.1229 0.6257 0.6257  6 Cd 2.95-2.99
Cd 0.6257 0.1229 0.6257  6 Cd 2.95-2.99
Cd 0.6257 0.6257 0.1229  6 Cd 2.95-2.99
Cd 0.6257 0.6257 0.6257  6 Cd 2.95-2.99
Cl 0.2500 0.2500 0.2500  12 Cd 3.48, 4 Mg 3.64

Summary:
ΔE_f (raw)   -0.0643 eV/atom
Size of the total moment   0.00 μB/atom
SG   No. 216
Crystal system   cubic